An optimized crystal structure of TbEr5Tl, computed with PBE.

Calculated values
Energy relative to the elements ... 0.74 eV/atom
Electronic total energy ... -24.64 eV per formula unit
Space-group type ... Imm2 (44)

Cell lengths 7.610, 7.610, 7.610 Å; angles 117.17, 82.56, 132.28 degrees
Fractional coordinates of all 7 atoms:
Tb (0.000, 0.000, 0.000)
Er (0.357, 0.610, 0.748)
Er (0.502, 0.317, 0.815)
Er (0.502, 0.688, 0.185)
Er (0.795, 0.295, 0.500)
Er (0.862, 0.610, 0.252)
Tl (0.269, 0.769, 0.500)

---

An optimized crystal structure of Dy3Y7Tm2, computed with PBE.

Calculated values
Energy relative to the elements ... 0.09 eV/atom
Electronic total energy ... -66.88 eV per formula unit
Space-group type ... P2/m (10)
Distance to the lowest polymorph of the same formula ... 0.0198 eV/atom

Cell lengths 5.790, 3.564, 18.631 Å; angles 90.00, 93.46, 90.00 degrees
Fractional coordinates of all 12 atoms:
Dy (0.000, 0.000, 0.000)
Dy (0.281, 0.500, 0.633)
Dy (0.719, 0.500, 0.367)
Y (0.182, 0.500, 0.144)
Y (0.242, 0.000, 0.463)
Y (0.314, 0.000, 0.819)
Y (0.500, 0.500, 0.000)
Y (0.686, 0.000, 0.181)
Y (0.758, 0.000, 0.537)
Y (0.818, 0.500, 0.856)
Tm (0.206, 0.000, 0.295)
Tm (0.794, 0.000, 0.705)

---

An optimized crystal structure of La4Te3O2, computed with PBE.

Calculated values
Electronic total energy ... -59.77 eV per formula unit
Space-group type ... C2/m (12)
Distance to the lowest polymorph of the same formula ... 0.0000 eV/atom
Raw formation energy ... -20.72 eV per formula unit

Cell lengths 7.377, 7.377, 9.491 Å; angles 118.69, 118.69, 33.47 degrees
Fractional coordinates of all 9 atoms:
La (0.120, 0.120, 0.410)
La (0.313, 0.313, 0.883)
La (0.687, 0.687, 0.117)
La (0.880, 0.880, 0.590)
Te (0.000, 0.000, 0.000)
Te (0.389, 0.389, 0.284)
Te (0.611, 0.611, 0.716)
O (0.307, 0.307, 0.623)
O (0.693, 0.693, 0.377)

---

An optimized crystal structure of ZrSc4Mn, computed with PBE.

Calculated values
Energy relative to the elements ... 0.48 eV/atom
Electronic total energy ... -40.19 eV per formula unit
Space-group type ... F-43m (216)

Cell lengths 5.834, 5.834, 5.834 Å; angles 60.00, 60.00, 60.00 degrees
Fractional coordinates of all 6 atoms:
Zr (0.000, 0.000, 0.000)
Sc (0.374, 0.374, 0.374)
Sc (0.374, 0.374, 0.878)
Sc (0.374, 0.878, 0.374)
Sc (0.878, 0.374, 0.374)
Mn (0.750, 0.750, 0.750)